Record 1
First-principles (PBE) data for SmDy2YTl2 after structural relaxation, as listed in the Alexandria database.

a = 5.1389 Å, b = 10.0438 Å, c = 6.8192 Å
α = 90.00°, β = 90.00°, γ = 90.00°
Atoms (fractional coordinates):
1 Sm 0.0000 0.0415 0.0000
2 Sm 0.0000 0.9585 0.5000
3 Dy 0.0000 0.3164 0.3719
4 Dy 0.0000 0.6836 0.8719
5 Dy 0.5000 0.4570 0.0900
6 Dy 0.5000 0.5430 0.5900
7 Y 0.5000 0.1897 0.7214
8 Y 0.5000 0.8103 0.2214
9 Tl 0.0000 0.3664 0.8365
10 Tl 0.0000 0.6336 0.3365
11 Tl 0.5000 0.1364 0.2578
12 Tl 0.5000 0.8636 0.7578

Results
- crystal system = orthorhombic
- D(E_F) (states/eV/f.u.) = 6.23
- volume (Å³/cell) = 352.0
- symmetry = Pmc2_1
- E_form (eV/atom) = -0.280

=====

Record 2
First-principles (PBE) data for SmDyYTl after structural relaxation, as listed in the Alexandria database.

a = 7.7921 Å, b = 7.7921 Å, c = 7.7921 Å
α = 90.00°, β = 90.00°, γ = 90.00°
Atoms (fractional coordinates):
1 Sm 0.0000 0.0000 0.0000
2 Sm 0.0000 0.5000 0.5000
3 Sm 0.5000 0.0000 0.5000
4 Sm 0.5000 0.5000 0.0000
5 Dy 0.2500 0.2500 0.7500
6 Dy 0.2500 0.7500 0.2500
7 Dy 0.7500 0.2500 0.2500
8 Dy 0.7500 0.7500 0.7500
9 Y 0.0000 0.0000 0.5000
10 Y 0.0000 0.5000 0.0000
11 Y 0.5000 0.0000 0.0000
12 Y 0.5000 0.5000 0.5000
13 Tl 0.2500 0.2500 0.2500
14 Tl 0.2500 0.7500 0.7500
15 Tl 0.7500 0.2500 0.7500
16 Tl 0.7500 0.7500 0.2500

Results
- crystal system = cubic
- D(E_F) (states/eV/f.u.) = 4.90
- volume (Å³/cell) = 473.1
- symmetry = F-43m
- E_form (eV/atom) = -0.050

=====

Record 3
First-principles (PBE) data for Sm2DyTl2Zn2 after structural relaxation, as listed in the Alexandria database.

a = 9.7493 Å, b = 9.7493 Å, c = 9.7493 Å
α = 28.20°, β = 28.20°, γ = 28.20°
Atoms (fractional coordinates):
1 Sm 0.1259 0.1259 0.1259
2 Sm 0.8741 0.8741 0.8741
3 Dy 0.0000 0.0000 0.0000
4 Tl 0.2645 0.2645 0.2645
5 Tl 0.7355 0.7355 0.7355
6 Zn 0.3897 0.3897 0.3897
7 Zn 0.6103 0.6103 0.6103

Results
- crystal system = trigonal
- D(E_F) (states/eV/f.u.) = 3.05
- volume (Å³/cell) = 182.8
- symmetry = R-3m
- E_form (eV/atom) = -0.172

=====

Record 4
First-principles (PBE) data for Sm3Dy3TlZn2 after structural relaxation, as listed in the Alexandria database.

a = 8.7294 Å, b = 8.7294 Å, c = 3.8025 Å
α = 90.00°, β = 90.00°, γ = 120.00°
Atoms (fractional coordinates):
1 Sm 0.0000 0.7019 0.0000
2 Sm 0.2981 0.2981 0.0000
3 Sm 0.7019 0.0000 0.0000
4 Dy 0.0000 0.3808 0.5000
5 Dy 0.3808 0.0000 0.5000
6 Dy 0.6192 0.6192 0.5000
7 Tl 0.0000 0.0000 0.5000
8 Zn 0.3333 0.6667 0.0000
9 Zn 0.6667 0.3333 0.0000

Results
- crystal system = hexagonal
- D(E_F) (states/eV/f.u.) = 11.77
- volume (Å³/cell) = 250.9
- symmetry = P-62m
- E_form (eV/atom) = -0.133